# 1
{
  "formula": "SmHRh",
  "functional": "GGA-PBE",
  "state": "relaxed",
  "lattice": [[3.883, 0.000, 0.000], [-1.941, 3.363, 0.000], [0.000, 0.000, 3.672]],
  "species": ["Sm", "H", "Rh"],
  "fractional_positions": [[0.000, 0.000, 0.000], [0.333, 0.667, 0.500], [0.667, 0.333, 0.500]],
  "volume_a3_per_atom": 15.98,
  "polymorph_energy_mev_per_atom": 208.5,
  "rho_g_cm3": 8.81,
  "final_energy_ev_per_fu": -16.41
}



# 2
{
  "formula": "Pu4Bi5H2",
  "functional": "GGA-PBE",
  "state": "relaxed",
  "lattice": [[9.011, -1.799, 0.000], [9.011, 1.799, 0.000], [-0.298, 0.000, 7.966]],
  "species": ["Pu", "Pu", "Pu", "Pu", "Bi", "Bi", "Bi", "Bi", "Bi", "H", "H"],
  "fractional_positions": [[0.013, 0.013, 0.346], [0.397, 0.397, 0.601], [0.603, 0.603, 0.399], [0.987, 0.987, 0.654], [0.153, 0.153, 0.065], [0.214, 0.214, 0.651], [0.500, 0.500, 0.000], [0.786, 0.786, 0.349], [0.847, 0.847, 0.935], [0.440, 0.440, 0.346], [0.560, 0.560, 0.654]],
  "volume_a3_per_atom": 23.47,
  "rho_g_cm3": 13.01,
  "final_energy_ev_per_fu": -84.05
}



# 3
{
  "formula": "Al3Cd2Au5",
  "functional": "GGA-PBE",
  "state": "relaxed",
  "lattice": [[6.239, 0.000, 0.000], [-1.041, 7.580, 0.000], [-1.374, -1.890, 7.848]],
  "species": ["Al", "Al", "Al", "Al", "Al", "Al", "Cd", "Cd", "Cd", "Cd", "Au", "Au", "Au", "Au", "Au", "Au", "Au", "Au", "Au", "Au"],
  "fractional_positions": [[0.047, 0.306, 0.023], [0.232, 0.553, 0.480], [0.421, 0.944, 0.712], [0.579, 0.056, 0.288], [0.768, 0.447, 0.520], [0.953, 0.694, 0.977], [0.109, 0.893, 0.350], [0.461, 0.686, 0.082], [0.539, 0.314, 0.918], [0.891, 0.107, 0.650], [0.022, 0.774, 0.669], [0.130, 0.456, 0.780], [0.247, 0.993, 0.023], [0.420, 0.368, 0.249], [0.421, 0.218, 0.556], [0.579, 0.782, 0.444], [0.580, 0.632, 0.751], [0.753, 0.007, 0.977], [0.870, 0.544, 0.220], [0.978, 0.226, 0.331]],
  "volume_a3_per_atom": 18.56,
  "rho_g_cm3": 11.55,
  "final_energy_ev_per_fu": -32.06
}



# 4
{
  "formula": "Tb2Zr2S7",
  "functional": "GGA-PBE",
  "state": "relaxed",
  "lattice": [[-1.906, 6.876, 4.203], [1.906, -6.876, 4.203], [1.906, 6.876, -4.203]],
  "species": ["Tb", "Tb", "Zr", "Zr", "S", "S", "S", "S", "S", "S", "S"],
  "fractional_positions": [[0.231, 0.000, 0.231], [0.769, 0.000, 0.769], [0.299, 0.799, 0.500], [0.743, 0.743, 0.000], [0.025, 0.705, 0.319], [0.074, 0.074, 0.000], [0.374, 0.477, 0.896], [0.386, 0.705, 0.681], [0.581, 0.477, 0.104], [0.663, 0.291, 0.371], [0.920, 0.291, 0.629]],
  "volume_a3_per_atom": 20.02,
  "rho_g_cm3": 5.46,
  "final_energy_ev_per_fu": -73.96,
  "raw_formation_energy_ev_per_atom": -1.701
}



# 5
{
  "formula": "CaHfZn3",
  "functional": "GGA-PBE",
  "state": "relaxed",
  "lattice": [[4.935, 0.000, 0.000], [0.000, 4.935, 0.000], [0.000, 0.000, 4.935]],
  "species": ["Ca", "Hf", "Zn", "Zn", "Zn"],
  "fractional_positions": [[0.000, 0.000, 0.000], [0.500, 0.500, 0.500], [0.000, 0.000, 0.500], [0.000, 0.500, 0.000], [0.500, 0.000, 0.000]],
  "volume_a3_per_atom": 24.04,
  "polymorph_energy_mev_per_atom": 633.6,
  "rho_g_cm3": 5.73,
  "final_energy_ev_per_fu": -10.18
}



# 6
{
  "formula": "PrNdGaCo",
  "functional": "GGA-PBE",
  "state": "relaxed",
  "lattice": [[4.324, 0.000, 0.000], [0.000, 2.016, 5.597], [0.000, -2.016, 5.597]],
  "species": ["Pr", "Nd", "Ga", "Co"],
  "fractional_positions": [[0.000, 0.000, 0.000], [0.500, 0.722, 0.722], [0.500, 0.424, 0.424], [0.000, 0.308, 0.308]],
  "volume_a3_per_atom": 24.39,
  "polymorph_energy_mev_per_atom": 0.0,
  "rho_g_cm3": 7.04,
  "final_energy_ev_per_fu": -20.80
}



# 7
{
  "formula": "RbAg3N",
  "functional": "GGA-PBE",
  "state": "relaxed",
  "lattice": [[6.674, 0.000, 0.000], [0.000, 6.674, 0.000], [0.000, 0.000, 6.674]],
  "species": ["Rb", "Ag", "Ag", "Ag", "N"],
  "fractional_positions": [[0.000, 0.000, 0.000], [0.000, 0.000, 0.500], [0.000, 0.500, 0.000], [0.500, 0.000, 0.000], [0.500, 0.500, 0.500]],
  "volume_a3_per_atom": 59.46,
  "polymorph_energy_mev_per_atom": 1455.2,
  "rho_g_cm3": 2.36,
  "final_energy_ev_per_fu": -7.51,
  "raw_formation_energy_ev_per_atom": 2.068
}



# 8
{
  "formula": "Re2TeAs",
  "functional": "GGA-PBE",
  "state": "relaxed",
  "lattice": [[0.000, 3.198, 3.198], [3.198, 0.000, 3.198], [3.198, 3.198, 0.000]],
  "species": ["Re", "Re", "Te", "As"],
  "fractional_positions": [[0.250, 0.250, 0.250], [0.750, 0.750, 0.750], [0.000, 0.000, 0.000], [0.500, 0.500, 0.500]],
  "volume_a3_per_atom": 16.36,
  "polymorph_energy_mev_per_atom": 370.8,
  "rho_g_cm3": 14.59,
  "final_energy_ev_per_fu": -30.23,
  "raw_formation_energy_ev_per_atom": 0.615
}